Entry 1:
Here is crystalline TlTc2Ru at its relaxed geometry from Alexandria. Energies are from GGA-PBE.

a b c (Å): 2.874 3.888 5.899
angles (deg): 90.00 90.35 90.00
Element x y z (fractional)
Tl 0.000 0.000 0.000
Tc 0.029 0.000 0.505
Tc 0.469 0.500 0.698
Ru 0.507 0.500 0.267

## Properties
V (Å³/atom): 16.48
Energy above the most stable polymorph in this dataset (eV/f.u.): 0.29
ΔE_f (meV/atom): 470.5
Space-group type: Pm (6)
Crystal system: monoclinic
Uncorrected energy (eV/atom): -7.6230

***

Entry 2:
Here is crystalline Ba3UAl2O9 at its relaxed geometry from Alexandria. Energies are from GGA-PBE.

a b c (Å): 5.745 5.745 7.128
angles (deg): 90.00 90.00 120.00
Element x y z (fractional)
Ba 0.000 0.000 0.000
Ba 0.333 0.667 0.686
Ba 0.667 0.333 0.314
U 0.000 0.000 0.500
Al 0.333 0.667 0.140
Al 0.667 0.333 0.860
O 0.000 0.500 0.000
O 0.171 0.343 0.327
O 0.171 0.829 0.327
O 0.343 0.171 0.673
O 0.500 0.000 0.000
O 0.500 0.500 0.000
O 0.657 0.829 0.327
O 0.829 0.171 0.673
O 0.829 0.657 0.673

## Properties
V (Å³/atom): 13.58
Space-group type: P-3m1 (164)
Crystal system: trigonal
Uncorrected energy (eV/atom): -7.5824
Formation energy from raw total energies (meV per atom): -2971

***

Entry 3:
Here is crystalline ReBI2 at its relaxed geometry from Alexandria. Energies are from GGA-PBE.

a b c (Å): 7.131 7.131 7.131
angles (deg): 131.49 131.49 71.03
Element x y z (fractional)
Re 0.000 0.000 0.000
Re 0.750 0.250 0.500
B 0.250 0.750 0.500
B 0.500 0.500 0.000
I 0.139 0.625 0.014
I 0.375 0.389 0.514
I 0.611 0.125 0.986
I 0.875 0.861 0.486

## Properties
V (Å³/atom): 24.90
Energy above the most stable polymorph in this dataset (eV/f.u.): 0.00
Space-group type: I-42d (122)
Crystal system: tetragonal
Uncorrected energy (eV/atom): -3.7355
Formation energy from raw total energies (meV per atom): 1821